Run A
A plane-wave DFT calculation with PBE was carried out for a relaxed structure of TaSb2TePt.

The value obtained for the total magnetization is 0.000 μB per atom.

The structure belongs to space group P4/mmm (No. 123); the cell edges are 5.118, 5.118 and 5.270 Å and the angles 90.00°, 90.00° and 90.00°. Symmetry generates all atoms from Ta at (0.000, 0.000, 0.000), Sb at (0.000, 0.500, 0.500), Te at (0.500, 0.500, 0.000) and Pt at (0.500, 0.500, 0.500).

---

Run B
A plane-wave DFT calculation with PBE was carried out for a relaxed structure of TaSb2TePt.

The value obtained for the total magnetization is 0.000 μB per atom.

The structure belongs to space group P4/mmm (No. 123); the cell edges are 5.302, 5.302 and 5.221 Å and the angles 90.00°, 90.00° and 90.00°. Symmetry generates all atoms from Ta at (0.000, 0.000, 0.000), Sb at (0.000, 0.500, 0.000), Te at (0.000, 0.000, 0.500) and Pt at (0.500, 0.500, 0.500).

---

We find run B to be the most stable, with the next structure 220 meV/atom higher.

---

Run A
A plane-wave DFT calculation with PBE was carried out for a relaxed structure of TbSbPt4.

The value obtained for the total magnetization is 0.000 μB per atom.

The structure belongs to space group P-1 (No. 2); the cell edges are 5.302, 6.496 and 7.408 Å and the angles 89.86°, 70.38° and 82.21°. Symmetry generates all atoms from Tb at (0.097, 0.253, 0.042), Sb at (0.000, 0.000, 0.500), Sb at (0.500, 0.500, 0.500), Pt at (0.039, 0.370, 0.658), Pt at (0.332, 0.872, 0.136), Pt at (0.339, 0.957, 0.698) and Pt at (0.484, 0.576, 0.839).

---

Run B
A plane-wave DFT calculation with PBE was carried out for a relaxed structure of TbSbPt4.

The value obtained for the total magnetization is 0.000 μB per atom.

The structure belongs to space group F-43m (No. 216); the cell edges are 7.674, 7.674 and 7.674 Å and the angles 90.00°, 90.00° and 90.00°. Symmetry generates all atoms from Tb at (0.000, 0.000, 0.000), Sb at (0.250, 0.250, 0.250) and Pt at (0.125, 0.125, 0.625).

---

We find run B to be the most stable, with the next structure 103 meV/atom higher.

---

Run A
A plane-wave DFT calculation with PBE was carried out for a relaxed structure of TcSbPt3.

The value obtained for the total magnetization is 0.844 μB per atom.

The structure belongs to space group Pm-3m (No. 221); the cell edges are 4.914, 4.914 and 4.914 Å and the angles 90.00°, 90.00° and 90.00°. Symmetry generates all atoms from Tc at (0.000, 0.000, 0.000), Sb at (0.500, 0.500, 0.500) and Pt at (0.000, 0.500, 0.500).

---

Run B
A plane-wave DFT calculation with PBE was carried out for a relaxed structure of TcSbPt3.

The value obtained for the total magnetization is 0.000 μB per atom.

The structure belongs to space group Pm-3m (No. 221); the cell edges are 4.822, 4.822 and 4.822 Å and the angles 90.00°, 90.00° and 90.00°. Symmetry generates all atoms from Tc at (0.000, 0.000, 0.000), Sb at (0.500, 0.500, 0.500) and Pt at (0.000, 0.000, 0.500).

---

We find run B to be the most stable, with the next structure 201 meV/atom higher.

---

Run A
A plane-wave DFT calculation with PBE was carried out for a relaxed structure of Tc2Sb2Pt.

The value obtained for the total magnetization is 0.000 μB per atom.

The structure belongs to space group P4/mbm (No. 127); the cell edges are 7.582, 7.582 and 3.120 Å and the angles 90.00°, 90.00° and 90.00°. Symmetry generates all atoms from Tc at (0.145, 0.355, 0.000), Sb at (0.153, 0.653, 0.500) and Pt at (0.000, 0.000, 0.500).

---

Run B
A plane-wave DFT calculation with PBE was carried out for a relaxed structure of Tc2Sb2Pt.

The value obtained for the total magnetization is 0.109 μB per atom.

The structure belongs to space group I4/mmm (No. 139); the cell edges are 4.250, 4.250 and 11.302 Å and the angles 90.00°, 90.00° and 90.00°. Symmetry generates all atoms from Tc at (0.000, 0.500, 0.250), Sb at (0.000, 0.000, 0.117) and Pt at (0.000, 0.000, 0.500).

---

We find run A to be the most stable, with the next structure 345 meV/atom higher.

---

Run A
A plane-wave DFT calculation with PBE was carried out for a relaxed structure of TcSbTe2Pt.

The value obtained for the total magnetization is 0.747 μB per atom.

The structure belongs to space group P4/mmm (No. 123); the cell edges are 5.397, 5.397 and 5.088 Å and the angles 90.00°, 90.00° and 90.00°. Symmetry generates all atoms from Tc at (0.000, 0.000, 0.000), Sb at (0.500, 0.500, 0.000), Te at (0.000, 0.500, 0.500) and Pt at (0.500, 0.500, 0.500).

---

Run B
A plane-wave DFT calculation with PBE was carried out for a relaxed structure of TcSbTe2Pt.

The value obtained for the total magnetization is 0.000 μB per atom.

The structure belongs to space group P4/mmm (No. 123); the cell edges are 5.113, 5.113 and 5.099 Å and the angles 90.00°, 90.00° and 90.00°. Symmetry generates all atoms from Tc at (0.000, 0.000, 0.000), Sb at (0.000, 0.000, 0.500), Te at (0.000, 0.500, 0.000) and Pt at (0.500, 0.500, 0.500).

---

We find run B to be the most stable, with the next structure 183 meV/atom higher.

---

Run A
A plane-wave DFT calculation with PBE was carried out for a relaxed structure of YTcSb2Pt.

The value obtained for the total magnetization is 0.451 μB per atom.

The structure belongs to space group P4/mmm (No. 123); the cell edges are 5.599, 5.599 and 4.904 Å and the angles 90.00°, 90.00° and 90.00°. Symmetry generates all atoms from Y at (0.000, 0.000, 0.000), Tc at (0.000, 0.000, 0.500), Sb at (0.000, 0.500, 0.000) and Pt at (0.500, 0.500, 0.500).

---

Run B
A plane-wave DFT calculation with PBE was carried out for a relaxed structure of YTcSb2Pt.

The value obtained for the total magnetization is 0.000 μB per atom.

The structure belongs to space group P4/mmm (No. 123); the cell edges are 5.108, 5.108 and 4.927 Å and the angles 90.00°, 90.00° and 90.00°. Symmetry generates all atoms from Y at (0.000, 0.000, 0.000), Tc at (0.500, 0.500, 0.500), Sb at (0.000, 0.500, 0.500) and Pt at (0.500, 0.500, 0.000).

---

We find run B to be the most stable, with the next structure 1351 meV/atom higher.

---

Run A
A plane-wave DFT calculation with PBE was carried out for a relaxed structure of Sb3TePt.

The value obtained for the total magnetization is 0.000 μB per atom.

The structure belongs to space group Pm-3m (No. 221); the cell edges are 5.293, 5.293 and 5.293 Å and the angles 90.00°, 90.00° and 90.00°. Symmetry generates all atoms from Sb at (0.000, 0.000, 0.500), Te at (0.500, 0.500, 0.500) and Pt at (0.000, 0.000, 0.000).

---

Run B
A plane-wave DFT calculation with PBE was carried out for a relaxed structure of Sb3TePt.

The value obtained for the total magnetization is 0.000 μB per atom.

The structure belongs to space group P2_1 (No. 4); the cell edges are 6.360, 5.811 and 7.871 Å and the angles 90.00°, 108.98° and 90.00°. Symmetry generates all atoms from Sb at (0.200, 0.000, 0.175), Sb at (0.285, 0.615, 0.957), Sb at (0.293, 0.606, 0.440), Te at (0.194, 0.170, 0.667) and Pt at (0.495, 0.338, 0.247).

---

We find run B to be the most stable, with the next structure 527 meV/atom higher.

---

Run A
A plane-wave DFT calculation with PBE was carried out for a relaxed structure of Sb2TePt2.

The value obtained for the total magnetization is 0.000 μB per atom.

The structure belongs to space group I4/mmm (No. 139); the cell edges are 3.916, 3.916 and 15.867 Å and the angles 90.00°, 90.00° and 90.00°. Symmetry generates all atoms from Sb at (0.000, 0.000, 0.130), Te at (0.000, 0.000, 0.500) and Pt at (0.000, 0.500, 0.250).

---

Run B
A plane-wave DFT calculation with PBE was carried out for a relaxed structure of Sb2TePt2.

The value obtained for the total magnetization is 0.000 μB per atom.

The structure belongs to space group P4/mbm (No. 127); the cell edges are 7.648, 7.648 and 3.746 Å and the angles 90.00°, 90.00° and 90.00°. Symmetry generates all atoms from Sb at (0.156, 0.344, 0.000), Te at (0.000, 0.000, 0.500) and Pt at (0.133, 0.633, 0.500).

---

Run C
A plane-wave DFT calculation with PBE was carried out for a relaxed structure of Sb2TePt2.

The value obtained for the total magnetization is 0.000 μB per atom.

The structure belongs to space group I4/mmm (No. 139); the cell edges are 4.542, 4.542 and 11.450 Å and the angles 90.00°, 90.00° and 90.00°. Symmetry generates all atoms from Sb at (0.000, 0.500, 0.250), Te at (0.000, 0.000, 0.000) and Pt at (0.000, 0.000, 0.383).

---

We find run A to be the most stable, with the next structure 73 meV/atom higher.